Entry 1:
## Dy3HoMg (PBE)

Data for a geometry-optimized Dy3HoMg structure.

Lattice parameters (Å, degrees): 12.7877 3.6405 12.8570 90.00 93.35 90.00
Space group C2/m (No. 12)
Unique sites:
Dy: 0.0354 0.0000 0.1882 x4
Dy: 0.1342 0.5000 0.9774 x4
Dy: 0.1502 0.0000 0.4373 x4
Ho: 0.2339 0.0000 0.7623 x4
Mg: 0.0625 0.5000 0.6243 x4

Properties
Offset from the most stable computed form   0 meV/atom
Size of the total moment   0.0 μB/cell
Calculated formation energy   -0.017 eV per atom
Electronic total energy   -4.01 eV per atom

=====

Entry 2:
## CaMg3Mn (PBE)

Data for a geometry-optimized CaMg3Mn structure.

Lattice parameters (Å, degrees): 5.1181 5.1181 5.1181 90.00 90.00 90.00
Space group Pm-3m (No. 221)
Unique sites:
Ca: 0.0000 0.0000 0.0000 x1
Mg: 0.0000 0.5000 0.5000 x3
Mn: 0.5000 0.5000 0.5000 x1

Properties
Size of the total moment   2.8 μB/cell
Calculated formation energy   0.358 eV per atom
Electronic total energy   -2.83 eV per atom